(1)
PBE Ga2PbO4, optimized geometry; relative energy among the computed polymorphs = 0.81 eV/f.u.; volume = 14.73 Å³/atom
1.0
6.157 0.000 3.101
3.078 5.470 1.551
0.618 0.000 6.436
O Pb Ga
8 2 4
Cartesian
3.369 3.637 6.440
3.135 4.236 3.633
5.029 0.902 6.976
6.522 3.970 8.402
4.719 1.833 3.758
2.016 1.501 2.025
6.137 4.568 4.774
2.325 1.234 5.243
6.467 2.736 6.320
0.618 0.001 6.436
3.052 0.966 3.518
3.362 1.770 6.736
4.951 3.701 3.577
8.339 4.505 8.346



(2)
PBE Ga2PbO, optimized geometry; relative energy among the computed polymorphs = 0.00 eV/f.u.; volume = 21.29 Å³/atom
1.0
-0.525 -5.447 -0.015
4.930 -0.481 2.325
-0.204 -2.747 6.304
O Ga Pb
2 4 2
Cartesian
3.464 -3.096 4.892
2.203 -2.964 1.155
2.047 -4.337 5.852
3.154 -7.194 6.490
0.296 -3.546 1.859
2.906 -2.274 3.025
0.737 -5.579 3.722
0.000 0.000 0.000



(3)
PBE GaPbO2, optimized geometry; relative energy among the computed polymorphs = 0.39 eV/f.u.; volume = 16.57 Å³/atom
1.0
5.514 0.000 0.000
0.000 5.514 0.000
2.757 2.757 4.359
O Pb Ga
4 2 2
Cartesian
3.451 1.379 1.090
4.136 4.821 3.269
2.063 4.136 1.090
6.893 6.208 3.269
0.000 0.000 0.000
5.514 2.757 2.179
2.757 5.514 2.179
2.757 2.757 0.000



(4)
PBE Ga3PbO, optimized geometry; relative energy among the computed polymorphs = 0.00 eV/f.u.; volume = 19.38 Å³/atom
1.0
4.593 0.000 0.000
0.000 4.593 0.000
0.000 0.000 4.593
Ga Pb O
3 1 1
Cartesian
2.297 0.000 0.000
0.000 0.000 2.297
0.000 2.297 0.000
2.297 2.297 2.297
0.000 0.000 0.000



(5)
PBE GaPbO2, optimized geometry; relative energy among the computed polymorphs = 0.00 eV/f.u.; volume = 14.30 Å³/atom
1.0
-5.455 -3.680 2.564
-4.105 -2.573 5.138
-6.071 -0.786 3.522
O Pb Ga
2 1 1
Cartesian
-1.847 -0.832 1.326
-13.783 -6.207 9.898
0.000 0.000 0.000
-7.815 -3.519 5.612



(6)
PBE GaPbO2, optimized geometry; relative energy among the computed polymorphs = 1.72 eV/f.u.; volume = 18.89 Å³/atom
1.0
2.140 0.000 6.353
-1.070 1.853 6.353
-1.070 -1.853 6.353
O Pb Ga
2 1 1
Cartesian
0.000 0.000 1.796
0.000 0.000 17.264
0.000 0.000 9.530
0.000 0.000 0.000



(7)
PBE GaPbO2, optimized geometry; relative energy among the computed polymorphs = 3.44 eV/f.u.; volume = 14.42 Å³/atom
1.0
-0.391 -4.288 0.516
1.059 -1.835 3.784
-3.099 -1.600 2.577
O Pb Ga
2 1 1
Cartesian
-0.608 -1.931 1.719
-1.823 -5.793 5.157
-1.216 -3.862 3.438
0.000 0.000 0.000



(8)
PBE Ga3PbO, optimized geometry; relative energy among the computed polymorphs = 5.64 eV/f.u.; volume = 33.40 Å³/atom
1.0
-4.573 -1.723 2.539
-1.606 -2.538 -4.616
2.615 -4.573 1.605
Ga Pb O
3 1 1
Cartesian
-2.286 -0.862 1.270
1.307 -2.287 0.802
-0.803 -1.269 -2.308
0.000 0.000 0.000
-1.782 -4.417 -0.236



(9)
PBE Ga5Pb3O12, optimized geometry; volume = 12.78 Å³/atom; E = -5.7477 eV/atom
1.0
-1.003 4.617 9.925
-4.700 -9.936 0.089
10.654 -1.009 -2.513
O Pb Ga
48 12 20
Cartesian
-4.843 -5.181 8.187
5.208 2.645 7.591
1.398 2.456 5.648
0.972 -3.812 4.941
2.932 1.326 3.175
6.850 -4.722 -1.828
4.174 -1.797 -0.209
9.794 -1.147 -0.685
-1.045 -3.730 0.971
-1.043 2.020 6.892
3.553 -8.784 1.854
-2.616 -4.623 4.573
1.197 -1.603 0.305
-1.526 -2.712 6.536
7.567 -1.705 2.928
-0.447 -6.483 4.820
4.560 0.575 5.292
5.995 -2.599 6.530
0.777 -4.531 7.711
-1.423 -2.308 3.617
3.361 -4.949 4.108
-1.899 -1.606 9.329
-0.258 -8.973 -0.090
-3.158 -8.812 0.763
8.109 2.484 6.739
4.510 -6.762 -1.498
6.374 -4.020 3.885
5.136 -6.639 2.619
1.506 -4.089 2.233
1.590 -1.379 3.393
3.951 -4.879 0.460
3.979 -2.517 2.561
5.397 0.155 2.681
6.889 -0.670 0.020
-1.938 -5.658 7.482
7.492 -0.427 5.671
6.477 -3.617 0.965
2.141 -6.915 -0.063
2.810 0.586 7.565
0.391 -6.903 2.209
-0.185 0.311 4.883
5.994 -8.349 0.610
-2.541 -5.902 1.830
3.754 -4.725 7.197
1.000 -1.450 7.042
3.445 -2.240 5.268
2.019 -7.654 4.326
0.440 0.434 9.000
6.134 -5.939 0.338
2.757 -6.351 2.218
-3.071 -3.539 8.437
-0.650 -4.731 3.149
2.193 0.023 5.283
3.157 -0.466 1.550
8.022 -2.790 -0.936
1.199 2.545 8.068
5.601 -1.597 4.352
-1.183 -0.390 7.163
1.794 -5.862 5.951
3.752 -8.874 -0.566
5.170 -5.449 4.071
4.826 1.804 3.706
0.775 -3.401 0.646
0.306 -3.126 6.557
4.645 -3.202 0.944
-2.851 -2.660 5.007
2.977 -5.472 -1.212
0.000 0.000 0.000
-3.032 -7.666 2.245
2.475 -3.164 3.751
-2.076 -6.061 5.653
-0.501 2.308 4.963
0.345 -7.253 0.365
7.983 1.338 5.256
5.327 -0.504 -1.256
4.606 0.925 7.136
-2.350 -4.968 0.044
7.027 -0.267 1.849
-0.219 -0.879 3.430
4.175 -2.927 6.856



(10)
PBE PmGaPbO4, optimized geometry; volume = 18.02 Å³/atom; E = -6.5709 eV/atom
1.0
6.070 0.000 0.508
0.000 5.848 0.000
-1.814 0.000 6.955
O Pm Ga Pb
8 2 2 2
Cartesian
2.419 1.462 3.156
2.691 4.386 1.511
-0.027 5.809 2.314
1.837 4.386 4.307
-0.027 2.964 2.314
4.283 2.884 5.149
4.283 0.040 5.149
1.565 1.462 5.952
4.154 4.386 3.310
0.102 1.462 4.153
3.078 1.462 4.904
1.177 4.386 2.559
2.644 4.386 6.367
1.612 1.462 1.096



(11)
PBE Pm2GaPbO6, optimized geometry; volume = 15.60 Å³/atom; E = -6.8065 eV/atom
1.0
5.340 0.000 0.000
0.000 5.404 0.000
0.000 0.000 5.404
Ga O Pm Pb
1 6 2 1
Cartesian
3.138 0.000 0.000
3.954 4.130 1.275
0.687 2.702 2.702
1.271 0.000 0.000
3.954 4.130 4.130
3.954 1.275 1.275
3.954 1.275 4.130
5.297 2.702 0.000
5.297 0.000 2.702
2.921 2.702 2.702



(12)
PBE GaPtPbO4, optimized geometry; volume = 14.08 Å³/atom; E = -5.6406 eV/atom
1.0
6.358 0.000 0.000
-3.179 5.906 -0.005
0.000 -3.193 5.251
O Ga Pt Pb
8 2 2 2
Cartesian
-1.308 3.463 3.904
1.308 3.463 3.904
3.179 1.664 1.309
1.871 -0.750 1.342
0.000 1.048 3.937
0.000 2.381 1.745
3.179 0.331 3.501
4.487 -0.750 1.342
3.179 -1.597 2.626
3.179 0.000 0.000
-1.589 1.356 2.623
1.589 1.356 2.623
0.000 -1.260 4.629
3.179 3.972 0.617



(13)
PBE GaPtPb2O6, optimized geometry; volume = 13.75 Å³/atom; E = -5.5465 eV/atom
1.0
5.718 0.000 0.000
2.859 4.952 0.000
2.859 1.651 9.708
O Ga Pb Pt
12 2 4 2
Cartesian
5.718 5.076 8.407
5.718 4.814 3.529
4.409 2.545 3.529
4.181 4.189 1.301
4.181 2.414 8.407
7.255 2.414 8.407
7.028 4.058 6.179
4.409 4.058 6.179
5.718 1.526 1.301
7.255 4.189 1.301
7.028 2.545 3.529
5.718 1.789 6.179
5.718 3.301 2.073
5.718 3.301 7.635
8.577 4.952 3.365
8.577 4.952 7.857
2.859 1.651 6.343
2.859 1.651 1.851
0.000 0.000 0.000
5.718 3.301 4.854



(14)
PBE RbGaPbO4, optimized geometry; volume = 17.57 Å³/atom; E = -5.2675 eV/atom
1.0
-2.364 4.973 -1.432
1.214 -1.053 -5.661
-4.879 -6.752 0.209
O Ga Rb Pb
8 2 2 2
Cartesian
-2.770 -4.929 -2.612
-4.997 -2.680 -2.103
-2.702 1.613 -6.873
-1.032 -0.152 -4.781
-2.970 -0.751 -2.026
-3.260 2.097 -4.271
-3.328 -4.445 -0.011
-3.060 -2.081 -4.857
-1.233 -1.962 -4.487
-4.796 -0.870 -2.396
-1.163 1.253 -2.012
-4.866 -4.085 -4.872
-3.223 0.022 -5.283
-2.807 -2.854 -1.600



(15)
PBE Ga2RePbO8, optimized geometry; volume = 11.80 Å³/atom; E = -6.5881 eV/atom
1.0
4.681 -0.015 -0.003
0.008 4.679 -0.005
0.004 0.007 6.466
O Ga Re Pb
8 2 1 1
Cartesian
3.749 0.926 1.369
3.167 3.153 3.228
1.526 1.517 3.230
1.374 1.364 -0.002
0.941 3.741 1.368
0.944 3.745 5.089
3.314 3.299 -0.006
3.752 0.930 5.090
2.347 2.337 4.852
2.345 2.333 1.605
0.000 0.000 0.000
0.002 0.003 3.233



(16)
PBE GaRePb2O, optimized geometry; volume = 22.18 Å³/atom; E = -5.3928 eV/atom
1.0
5.409 0.000 0.000
0.000 3.791 0.000
0.000 0.000 5.409
Pb Ga Re O
2 1 1 1
Cartesian
0.000 0.000 2.705
2.705 0.000 0.000
2.705 1.895 2.705
0.000 1.895 0.000
0.000 0.000 0.000



(17)
PBE GaRhPbO6, optimized geometry; volume = 12.03 Å³/atom; E = -5.8088 eV/atom
1.0
-0.225 3.855 -2.748
-0.629 -2.751 -3.808
-9.542 0.375 1.306
O Ga Pb Rh
12 2 2 2
Cartesian
-1.872 2.747 -2.720
-10.033 1.150 -3.342
-5.204 -1.204 -2.951
-3.565 0.461 -1.512
-8.386 2.849 -1.855
-2.133 -1.520 -3.405
-3.907 0.903 -4.138
-9.680 0.694 -0.633
-6.622 0.606 -1.249
-4.967 2.673 -2.330
-8.629 -1.111 -2.490
-6.925 0.996 -3.571
-3.182 0.125 0.435
-8.380 0.864 -2.190
-6.357 0.250 0.870
-2.013 0.614 -3.061
-9.540 0.375 1.305
-5.196 0.739 -2.625



(18)
PBE GaRhPb2O5, optimized geometry; volume = 14.95 Å³/atom; E = -5.8502 eV/atom
1.0
-0.141 1.551 -2.934
-6.927 -1.983 1.164
-1.937 9.891 5.324
O Pb Ga Rh
10 4 2 2
Cartesian
-5.289 3.356 2.028
-4.857 -0.657 -0.115
-1.009 3.706 0.128
-0.668 0.106 0.088
-5.229 5.667 3.248
-3.359 1.665 -0.839
-7.453 4.836 1.034
-4.365 9.415 3.308
-8.199 6.790 3.984
-3.248 5.521 1.195
-5.750 1.350 -0.891
-2.876 6.171 3.401
-2.648 2.668 1.538
-6.573 7.891 2.608
-7.187 3.203 2.038
-2.533 9.906 3.480
-2.847 -0.181 0.041
-5.307 5.294 1.174